# 1
Below is crystalline LaPm5Pr2Tm at its relaxed geometry, with properties calculated at the PBE level.

Geometry as POSCAR:
```
LaPm5Pr2Tm
1.0
8.910 0.000 0.000
0.000 8.910 0.000
-4.455 -4.455 7.975
La Pm Pr Tm
2 10 4 2
Cartesian
0.000 0.000 3.988
4.455 4.455 3.988
7.043 2.588 2.207
2.588 -1.868 5.768
-2.588 1.868 5.768
-1.868 -2.588 5.768
1.868 2.588 5.768
6.323 7.043 2.207
2.588 1.868 2.207
1.868 6.323 2.207
4.455 4.455 0.000
0.000 0.000 0.000
1.053 3.402 0.000
5.508 1.053 0.000
3.402 7.857 0.000
7.857 5.508 0.000
0.000 4.455 3.988
4.455 0.000 3.988
```

Total energy: -4.482 eV/atom
DOS(E_F): 13.2 states/eV/f.u.
Volume: 35.2 Å³/atom
Density: 6895 kg/m3

***

# 2
Below is crystalline Pm5YTl6 at its relaxed geometry, with properties calculated at the PBE level.

Geometry as POSCAR:
```
Pm5YTl6
1.0
-2.588 -4.612 -1.474
4.883 -0.872 -5.848
3.716 -6.715 4.103
Y Tl Pm
1 6 5
Cartesian
0.000 0.000 0.000
2.738 -6.720 -4.286
0.266 -6.279 -1.324
3.631 -9.237 1.918
2.379 -2.962 -5.137
5.745 -5.920 -1.895
3.272 -5.478 1.067
3.172 -7.969 -1.191
0.372 -3.773 0.873
2.441 -0.436 -2.924
0.755 -7.554 1.756
2.838 -4.230 -2.027
```

Total energy: -4.088 eV/atom
DOS(E_F): 9.5 states/eV/f.u.
Volume: 28.9 Å³/atom
Density: 9761 kg/m3